[1]
An optimized crystal structure of CsAlMo. Source: the Open Quantum Materials Database, functional PBE.

abc: 5.590 5.590 5.590
angles: 60.00 60.00 60.00
Positions (direct):
1 Mo 0.750 0.750 0.750
2 Cs 0.000 0.000 0.000
3 Al 0.250 0.250 0.250

Results
- Energy above the lowest structure with this stoichiometry: 0.631 eV per atom
- Space-group type: F-43m
- Calculated total energy: -2.84 eV/atom

[2]
An optimized crystal structure of CsAlMo. Source: the Open Quantum Materials Database, functional PBE.

abc: 4.957 4.957 4.957
angles: 60.00 60.00 60.00
Positions (direct):
1 Cs 0.750 0.750 0.750
2 Al 0.250 0.250 0.250
3 Mo 0.000 0.000 0.000

Results
- Energy above the lowest structure with this stoichiometry: 0.000 eV per atom
- Space-group type: F-43m
- Calculated total energy: -3.47 eV/atom

[3]
An optimized crystal structure of Cs2Nd2Al2O7. Source: the Open Quantum Materials Database, functional PBE.

abc: 7.366 7.366 7.366
angles: 132.79 97.14 101.32
Positions (direct):
1 O 0.614 0.752 0.862
2 O 0.717 0.743 0.500
3 Cs 0.373 0.373 0.000
4 O 0.243 0.217 0.500
5 Nd 0.929 0.620 0.309
6 Nd 0.310 0.620 0.691
7 O 0.243 0.743 0.026
8 Al 0.776 0.938 0.839
9 Cs 0.685 0.185 0.500
10 O 0.035 0.035 0.000
11 O 0.717 0.217 0.974
12 Al 0.099 0.938 0.161
13 O 0.890 0.752 0.138

Results
- Space-group type: Imm2
- Calculated total energy: -6.56 eV/atom

[4]
An optimized crystal structure of CsNdAlSe3. Source: the Open Quantum Materials Database, functional PBE.

abc: 11.580 4.740 13.078
angles: 90.00 90.00 90.00
Positions (direct):
1 Se 0.797 0.750 0.711
2 Se 0.103 0.750 0.064
3 Al 0.270 0.250 0.721
4 Se 0.397 0.250 0.564
5 Se 0.897 0.250 0.936
6 Se 0.703 0.250 0.211
7 Cs 0.336 0.250 0.002
8 Nd 0.469 0.250 0.335
9 Se 0.603 0.750 0.436
10 Cs 0.836 0.250 0.498
11 Cs 0.164 0.750 0.502
12 Se 0.561 0.250 0.810
13 Nd 0.031 0.750 0.835
14 Nd 0.531 0.750 0.665
15 Se 0.297 0.750 0.789
16 Se 0.439 0.750 0.190
17 Cs 0.664 0.750 0.998
18 Al 0.230 0.750 0.221
19 Se 0.203 0.250 0.289
20 Nd 0.969 0.250 0.165
21 Se 0.939 0.750 0.310
22 Se 0.061 0.250 0.690
23 Al 0.770 0.250 0.779
24 Al 0.730 0.750 0.279

Results
- Space-group type: Pnma
- Calculated total energy: -4.57 eV/atom

> Which value of calculated total energy does entry 4 give?

-4.57 eV/atom